Entry from Alexandria via LeMat-Bulk: an optimized crystal structure of U2PaTaN4 (GGA-PBE).

Geometry as CIF:
```
data_U2PaTaN4
_cell_length_a 5.779
_cell_length_b 3.341
_cell_length_c 5.909
_cell_angle_alpha 90.00
_cell_angle_beta 108.21
_cell_angle_gamma 90.00
_symmetry_space_group_name_H-M 'P 1 2/m 1'
_symmetry_Int_Tables_number 10
loop_
_symmetry_equiv_pos_as_xyz
'x,y,z'
'-x,-y,-z'
'-x,y,-z'
'x,-y,z'
loop_
_atom_site_label
_atom_site_fract_x
_atom_site_fract_y
_atom_site_fract_z
_atom_site_occupancy
U1 0.000 0.000 0.000 1
U2 0.000 0.500 0.500 1
Pa1 0.500 0.000 0.500 1
Ta1 0.500 0.500 0.000 1
N1 0.260 0.500 0.229 1
N2 0.272 0.000 0.780 1
```

Summary:
- Raw formation energy: -1.33 eV per atom
- VASP energy: -87.90 eV per cell